Entry from Alexandria: a geometry-optimized HfNbTcBr2 structure (PBE).

VASP energy	-5.65	eV per atom
formation energy without anion corrections	1.10	eV/atom

```
HfNbTcBr2
1.0
4.934 0.000 0.000
0.000 4.934 0.000
0.000 0.000 4.984
Hf Nb Tc Br
1 1 1 2
direct
0.000 0.000 0.000
0.500 0.500 0.500
0.500 0.500 0.000
0.000 0.500 0.500
0.500 0.000 0.500
```